Compound: TbAg4Sn
Source: Alexandria
Functional: GGA-PBE
Structure: optimized geometry

The space group is F-43m (No. 216) and the conventional cell measures 7.966, 7.966 and 7.966 Å, with angles of 90.00, 90.00 and 90.00 degrees. The asymmetric unit holds Tb at (0.000, 0.000, 0.000), Ag at (0.125, 0.125, 0.375) and Sn at (0.250, 0.250, 0.750).

The calculation puts the spin magnetization at 0.00 μB per formula unit. The calculation puts the formation energy at -0.17 eV per atom. The value obtained for the energy is -3.51 eV/atom.